First-principles (GGA-PBE) data for crystalline Ac2La4NdHo at its relaxed geometry, as listed in the Alexandria database.

a b c (Å): 5.3016 5.3497 10.6868
angles (deg): 90.00 90.08 90.00
Closest atoms and distances in Å follow each position.
Fractional positions:
Ac: 0.0000 0.0000 0.0000  4 Nd 3.77, 8 La 3.78-3.79
Ac: 0.5000 0.5000 0.5000  8 La 3.75-3.76, 4 Ho 3.77
La: 0.0006 0.5000 0.7489  4 Ac 3.75-3.79, 4 La 3.76-3.77, 2 Nd 3.77-3.78, 2 Ho 3.77
La: 0.4992 0.0000 0.7472  2 Ho 3.74-3.75, 4 Ac 3.76-3.78, 4 La 3.76-3.77, 2 Nd 3.80
La: 0.5008 0.0000 0.2528  2 Ho 3.74-3.75, 4 Ac 3.76-3.78, 4 La 3.76-3.77, 2 Nd 3.80
La: 0.9994 0.5000 0.2511  4 Ac 3.75-3.79, 4 La 3.76-3.77, 2 Nd 3.77-3.78, 2 Ho 3.77
Nd: 0.5000 0.5000 0.0000  4 Ac 3.77, 8 La 3.77-3.80
Ho: 0.0000 0.0000 0.5000  8 La 3.74-3.77, 4 Ac 3.77

Calculated values
E_tot	-37.023	eV per cell
density of states at the Fermi level	14.7	states/eV/f.u.
crystal system	monoclinic
energy of formation	3.0	kJ per mole of atoms